(1)
A plane-wave DFT calculation with PBE was carried out for a geometry-optimized CePm2Zr structure.

Cell lengths 5.981, 3.450, 11.647 Å; angles 90.00, 99.85, 90.00 degrees
Space group Cm (No. 8)
Unique sites:
Ce: 0.000 0.000 0.000
Pm: 0.244 0.000 0.735
Pm: 0.420 0.000 0.263
Zr: 0.333 0.500 0.498

Computed properties:
Crystal system: monoclinic
Polymorph energy (0 for the lowest one), eV per atom: 0.000
Final energy, eV/atom: -5.84


(2)
A plane-wave DFT calculation with PBE was carried out for a geometry-optimized CePmZr2 structure.

Cell lengths 3.2927, 3.2927, 34.8216 Å; angles 90.00, 90.00, 120.00 degrees
Space group R-3m (No. 166, hexagonal axes)
Unique sites:
Ce: 0.0000 0.0000 0.0000
Pm: 0.0000 0.0000 0.5000
Zr: 0.0000 0.0000 0.4091

Computed properties:
Crystal system: trigonal
Polymorph energy (0 for the lowest one), eV per atom: 0.124
Final energy, eV/atom: -6.65


(3)
A plane-wave DFT calculation with PBE was carried out for a geometry-optimized Ce2PmZr structure.

Cell lengths 3.2465, 3.2465, 36.2427 Å; angles 90.00, 90.00, 120.00 degrees
Space group R-3m (No. 166, hexagonal axes)
Unique sites:
Ce: 0.0000 0.0000 0.0811
Pm: 0.0000 0.0000 0.5000
Zr: 0.0000 0.0000 0.0000

Computed properties:
Crystal system: trigonal
Polymorph energy (0 for the lowest one), eV per atom: 0.171
Final energy, eV/atom: -5.99


(4)
A plane-wave DFT calculation with PBE was carried out for a geometry-optimized CePmZr structure.

Cell lengths 3.374, 3.374, 14.841 Å; angles 90.00, 90.00, 90.00 degrees
Space group P4/nmm (No. 129, origin choice 2)
Unique sites:
Ce: 0.250 0.250 0.229
Pm: 0.250 0.250 0.595
Zr: 0.250 0.250 0.928

Computed properties:
Crystal system: tetragonal
Polymorph energy (0 for the lowest one), eV per atom: 0.000
Final energy, eV/atom: -6.31


| no. | ρ (g cm⁻³) |
| --- | --- |
| 1 | 7.310 |
| 2 | 7.124 |
| 3 | 7.777 |
| 4 | 7.399 |